i:
## Sr3CaCr (PBE)

Data for a relaxed Sr3CaCr crystal.

a = 6.2883 Å, b = 6.2883 Å, c = 6.2883 Å
α = 90.00°, β = 90.00°, γ = 90.00°
Last column: nearest neighbours and their distance in Å.
Fractional coordinates of all 5 atoms:
Sr 0.5000 0.0000 0.0000  2 Cr 3.14
Sr 0.0000 0.0000 0.5000  2 Cr 3.14
Sr 0.0000 0.5000 0.0000  2 Cr 3.14
Cr 0.0000 0.0000 0.0000  6 Sr 3.14
Ca 0.5000 0.5000 0.5000  12 Sr 4.45

Summary:
As for the crystal system: cubic. As for the space group: Pm-3m (221).



ii:
## Sr3CaCr (PBE)

Data for a relaxed Sr3CaCr crystal.

a = 6.7041 Å, b = 6.7041 Å, c = 6.7041 Å
α = 90.00°, β = 90.00°, γ = 90.00°
Last column: nearest neighbours and their distance in Å.
Fractional coordinates of all 5 atoms:
Sr 0.0000 0.0000 0.5000  2 Ca 3.35
Sr 0.0000 0.5000 0.0000  2 Ca 3.35
Sr 0.5000 0.0000 0.0000  2 Ca 3.35
Ca 0.0000 0.0000 0.0000  6 Sr 3.35
Cr 0.5000 0.5000 0.5000  12 Sr 4.74

Summary:
As for the crystal system: cubic. As for the space group: Pm-3m (221).



Energetically preferred structure: i | next structure: +0.699 eV/atom



i:
## SrCaCr2 (PBE)

Data for a relaxed SrCaCr2 crystal.

a = 5.4695 Å, b = 5.4695 Å, c = 5.4695 Å
α = 60.00°, β = 60.00°, γ = 60.00°
Last column: nearest neighbours and their distance in Å.
Fractional coordinates of all 4 atoms:
Ca 0.5000 0.5000 0.5000  4 Sr 3.35, 4 Cr 3.35
Cr 0.0000 0.0000 0.0000  4 Cr 3.35, 4 Sr 3.35
Cr 0.2500 0.2500 0.2500  4 Ca 3.35, 4 Cr 3.35
Sr 0.7500 0.7500 0.7500  4 Cr 3.35, 4 Ca 3.35

Summary:
As for the crystal system: cubic. As for the space group: F-43m (216).



ii:
## SrCaCr2 (PBE)

Data for a relaxed SrCaCr2 crystal.

a = 10.5824 Å, b = 10.5824 Å, c = 10.5824 Å
α = 20.05°, β = 20.05°, γ = 20.05°
Last column: nearest neighbours and their distance in Å.
Fractional coordinates of all 4 atoms:
Cr 0.0027 0.0027 0.0027  3 Ca 3.29, 3 Sr 3.42
Cr 0.4973 0.4973 0.4973  3 Ca 3.29, 3 Sr 3.42
Ca 0.7500 0.7500 0.7500  6 Cr 3.29
Sr 0.2500 0.2500 0.2500  6 Cr 3.42, 6 Sr 3.68

Summary:
As for the crystal system: trigonal. As for the space group: R-3m (166).



Energetically preferred structure: i | next structure: +0.097 eV/atom



i:
## SrCaCr2 (PBE)

Data for a relaxed SrCaCr2 crystal.

a = 6.0967 Å, b = 6.0967 Å, c = 6.0967 Å
α = 142.99°, β = 125.57°, γ = 67.65°
Last column: nearest neighbours and their distance in Å.
Fractional coordinates of all 4 atoms:
Cr 0.8052 0.3052 0.5000  2 Cr 2.38
Cr 0.9418 0.9418 0.0000  2 Cr 2.38
Ca 0.2260 0.7260 0.5000  4 Sr 3.44-3.61, 8 Cr 3.47-3.54
Sr 0.5269 0.5269 0.0000  8 Cr 3.42-3.58, 4 Ca 3.44-3.61

Summary:
As for the crystal system: orthorhombic. As for the space group: Imm2 (44).



ii:
## SrCaCr2 (PBE)

Data for a relaxed SrCaCr2 crystal.

a = 6.1921 Å, b = 6.1921 Å, c = 6.1921 Å
α = 134.88°, β = 134.88°, γ = 65.71°
Last column: nearest neighbours and their distance in Å.
Fractional coordinates of all 4 atoms:
Cr 0.0000 0.0000 0.0000  4 Sr 3.36, 4 Ca 3.52, 4 Cr 3.52
Cr 0.2500 0.7500 0.5000  4 Ca 3.36, 4 Cr 3.52, 4 Sr 3.52
Sr 0.5000 0.5000 0.0000  8 Cr 3.36-3.52, 4 Ca 3.52
Ca 0.7500 0.2500 0.5000  8 Cr 3.36-3.52, 4 Sr 3.52

Summary:
As for the crystal system: tetragonal. As for the space group: I-4m2 (119).



iii:
## SrCaCr2 (PBE)

Data for a relaxed SrCaCr2 crystal.

a = 3.4681 Å, b = 3.4682 Å, c = 8.9073 Å
α = 90.00°, β = 90.00°, γ = 90.00°
Last column: nearest neighbours and their distance in Å.
Fractional coordinates of all 4 atoms:
Cr 0.5000 0.5000 0.1646  4 Cr 2.58
Cr 0.0000 0.0000 0.0742  4 Cr 2.58
Sr 0.0000 0.0000 0.4418  5 Cr 3.27-3.48, 4 Sr 3.47
Ca 0.5000 0.5000 0.8193  5 Cr 3.08-3.34

Summary:
As for the crystal system: tetragonal. As for the space group: P4mm (99).



Energetically preferred structure: iii | next structure: +0.047 eV/atom



i:
## SrCaCr2 (PBE)

Data for a relaxed SrCaCr2 crystal.

a = 3.9139 Å, b = 3.9139 Å, c = 7.7857 Å
α = 90.00°, β = 90.00°, γ = 90.00°
Last column: nearest neighbours and their distance in Å.
Fractional coordinates of all 4 atoms:
Cr 0.0000 0.0000 0.5248  4 Ca 3.28, 4 Sr 3.50, 1 Cr 3.51
Cr 0.0000 0.0000 0.9752  4 Ca 3.28, 4 Sr 3.50, 1 Cr 3.51
Sr 0.5000 0.5000 0.2500  8 Cr 3.50, 2 Ca 3.89, 4 Sr 3.91
Ca 0.5000 0.5000 0.7500  8 Cr 3.28

Summary:
As for the crystal system: tetragonal. As for the space group: P4/mmm (123).



ii:
## SrCaCr2 (PBE)

Data for a relaxed SrCaCr2 crystal.

a = 8.5297 Å, b = 8.5297 Å, c = 6.8759 Å
α = 51.66°, β = 51.66°, γ = 90.00°
Last column: nearest neighbours and their distance in Å.
Fractional coordinates of all 8 atoms:
Ca 0.5000 0.5000 0.0000  4 Cr 3.07, 2 Sr 3.30
Ca 0.2500 0.7500 0.5000  4 Cr 3.07, 2 Sr 3.30
Sr 0.7500 0.2500 0.5000  4 Cr 3.18, 2 Ca 3.30
Sr 0.0000 0.0000 0.0000  4 Cr 3.18, 2 Ca 3.30
Cr 0.8750 0.8655 0.7500  2 Ca 3.07, 2 Sr 3.18, 2 Cr 3.31
Cr 0.6155 0.1250 0.2500  2 Ca 3.07, 2 Sr 3.18, 2 Cr 3.31
Cr 0.1345 0.6250 0.2500  2 Ca 3.07, 2 Sr 3.18, 2 Cr 3.31
Cr 0.3750 0.3845 0.7500  2 Ca 3.07, 2 Sr 3.18, 2 Cr 3.31

Summary:
As for the crystal system: tetragonal. As for the space group: I-42d (122).



iii:
## SrCaCr2 (PBE)

Data for a relaxed SrCaCr2 crystal.

a = 4.8440 Å, b = 4.2564 Å, c = 6.4816 Å
α = 70.74°, β = 90.00°, γ = 90.00°
Last column: nearest neighbours and their distance in Å.
Fractional coordinates of all 4 atoms:
Ca 0.5000 0.7706 0.8342  7 Cr 3.33-3.56
Cr 0.0000 0.1949 0.9856  2 Cr 2.92
Cr 0.5000 0.0610 0.2527  2 Cr 2.92
Sr 0.0000 0.4735 0.4275  7 Cr 3.40-3.44

Summary:
As for the crystal system: monoclinic. As for the space group: Pm (6).



Energetically preferred structure: i | next structure: +0.014 eV/atom